No. 1
The following is a DFT calculation (PBE-GGA) of a relaxed CsRb2Hg3F8 crystal.

Summary:
**Crystal system**: trigonal
**Raw total energy**: -0.1185 Ha/atom

Structure (CIF):
```
data_CsRb2Hg3F8
_symmetry_space_group_name_H-M 'R 3 m'
_symmetry_Int_Tables_number 160
_symmetry_space_group_name_Hall 'R 3 -2"'
_cell_length_a 7.5854
_cell_length_b 7.5854
_cell_length_c 19.7175
_cell_angle_alpha 90.00
_cell_angle_beta 90.00
_cell_angle_gamma 120.00
loop_
_atom_site_label
_atom_site_type_symbol
_atom_site_fract_x
_atom_site_fract_y
_atom_site_fract_z
Cs1 Cs 0.0000 0.0000 0.0000
Rb1 Rb 0.0000 0.0000 0.3745
Rb2 Rb 0.0000 0.0000 0.7550
Hg1 Hg 0.1683 0.3365 0.2084
F1 F 0.0000 0.0000 0.1471
F2 F 0.0000 0.0000 0.6089
F3 F 0.0417 0.5208 0.1437
F4 F 0.1907 0.3814 0.9370
```

No. 2
The following is a DFT calculation (PBE-GGA) of a relaxed Pr2Er3Al crystal.

Summary:
**Crystal system**: orthorhombic
**E_form**: -1.7 kcal/mol of atoms
**Raw total energy**: -0.1680 Ha/atom

Structure (CIF):
```
data_Pr2Er3Al
_symmetry_space_group_name_H-M 'C m m m'
_symmetry_Int_Tables_number 65
_symmetry_space_group_name_Hall '-C 2 2'
_cell_length_a 4.833
_cell_length_b 15.012
_cell_length_c 4.898
_cell_angle_alpha 90.00
_cell_angle_beta 90.00
_cell_angle_gamma 90.00
loop_
_atom_site_label
_atom_site_type_symbol
_atom_site_fract_x
_atom_site_fract_y
_atom_site_fract_z
Pr1 Pr 0.000 0.159 0.000
Er1 Er 0.000 0.000 0.500
Er2 Er 0.000 0.339 0.500
Al1 Al 0.000 0.500 0.000
```

No. 3
The following is a DFT calculation (PBE-GGA) of a relaxed Sm6Ir2AuI3 crystal.

Summary:
**Crystal system**: monoclinic
**Raw total energy**: -0.2003 Ha/atom

Structure (CIF):
```
data_Sm6Ir2AuI3
_symmetry_space_group_name_H-M 'C 1 2/m 1'
_symmetry_Int_Tables_number 12
_cell_length_a 7.325
_cell_length_b 12.687
_cell_length_c 8.388
_cell_angle_alpha 90.00
_cell_angle_beta 106.90
_cell_angle_gamma 90.00
loop_
_symmetry_equiv_pos_as_xyz
'x,y,z'
'-x,-y,-z'
'-x,y,-z'
'x,-y,z'
'x+1/2,y+1/2,z'
'-x+1/2,-y+1/2,-z'
'-x+1/2,y+1/2,-z'
'x+1/2,-y+1/2,z'
loop_
_atom_site_label
_atom_site_type_symbol
_atom_site_fract_x
_atom_site_fract_y
_atom_site_fract_z
Sm1 Sm 0.210 0.000 0.186
Sm2 Sm 0.238 0.324 0.187
Ir1 Ir 0.000 0.167 0.000
Au1 Au 0.000 0.500 0.000
I1 I 0.000 0.000 0.500
I2 I 0.000 0.334 0.500
```

No. 4
The following is a DFT calculation (PBE-GGA) of a relaxed Rb3ZnCd crystal.

Summary:
**Crystal system**: cubic
**E_form**: 5.0 kcal/mol of atoms
**Raw total energy**: -0.0294 Ha/atom
**E above lowest polymorph**: 0 meV per atom

Structure (CIF):
```
data_Rb3ZnCd
_symmetry_space_group_name_H-M 'P m -3 m'
_symmetry_Int_Tables_number 221
_symmetry_space_group_name_Hall '-P 4 2 3'
_cell_length_a 6.810
_cell_length_b 6.810
_cell_length_c 6.810
_cell_angle_alpha 90.00
_cell_angle_beta 90.00
_cell_angle_gamma 90.00
loop_
_atom_site_label
_atom_site_type_symbol
_atom_site_fract_x
_atom_site_fract_y
_atom_site_fract_z
Rb1 Rb 0.000 0.000 0.500
Zn1 Zn 0.000 0.000 0.000
Cd1 Cd 0.500 0.500 0.500
```

No. 5
The following is a DFT calculation (PBE-GGA) of a relaxed Ge3OsO crystal.

Summary:
**Crystal system**: cubic
**Raw total energy**: -0.2058 Ha/atom
**E above lowest polymorph**: 72 meV per atom

Structure (CIF):
```
data_Ge3OsO
_symmetry_space_group_name_H-M 'P m -3 m'
_symmetry_Int_Tables_number 221
_symmetry_space_group_name_Hall '-P 4 2 3'
_cell_length_a 4.219
_cell_length_b 4.219
_cell_length_c 4.219
_cell_angle_alpha 90.00
_cell_angle_beta 90.00
_cell_angle_gamma 90.00
loop_
_atom_site_label
_atom_site_type_symbol
_atom_site_fract_x
_atom_site_fract_y
_atom_site_fract_z
Ge1 Ge 0.000 0.000 0.500
Os1 Os 0.500 0.500 0.500
O1 O 0.000 0.000 0.000
```

No. 6
The following is a DFT calculation (PBE-GGA) of a relaxed CePrSn3 crystal.

Summary:
**Crystal system**: orthorhombic
**E_form**: -12.2 kcal/mol of atoms
**Raw total energy**: -0.1865 Ha/atom

Structure (CIF):
```
data_CePrSn3
_symmetry_space_group_name_H-M 'P m m n'
_symmetry_Int_Tables_number 59
_cell_length_a 4.418
_cell_length_b 6.815
_cell_length_c 10.013
_cell_angle_alpha 90.00
_cell_angle_beta 90.00
_cell_angle_gamma 90.00
loop_
_symmetry_equiv_pos_as_xyz
'x,y,z'
'-x,-y,-z'
'-x+1/2,-y+1/2,z'
'x+1/2,y+1/2,-z'
'x+1/2,-y,-z'
'-x+1/2,y,z'
'-x,y+1/2,-z'
'x,-y+1/2,z'
loop_
_atom_site_label
_atom_site_type_symbol
_atom_site_fract_x
_atom_site_fract_y
_atom_site_fract_z
Ce1 Ce 0.250 0.250 0.039
Pr1 Pr 0.250 0.750 0.385
Sn1 Sn 0.250 0.250 0.369
Sn2 Sn 0.250 0.516 0.777
```

No. 7
The following is a DFT calculation (PBE-GGA) of a relaxed RbTa3Ag crystal.

Summary:
**Crystal system**: cubic
**E_form**: 73.3 kcal/mol of atoms
**Raw total energy**: -0.1726 Ha/atom
**E above lowest polymorph**: 859 meV per atom

Structure (CIF):
```
data_RbTa3Ag
_symmetry_space_group_name_H-M 'P m -3 m'
_symmetry_Int_Tables_number 221
_symmetry_space_group_name_Hall '-P 4 2 3'
_cell_length_a 4.788
_cell_length_b 4.788
_cell_length_c 4.788
_cell_angle_alpha 90.00
_cell_angle_beta 90.00
_cell_angle_gamma 90.00
loop_
_atom_site_label
_atom_site_type_symbol
_atom_site_fract_x
_atom_site_fract_y
_atom_site_fract_z
Rb1 Rb 0.000 0.000 0.000
Ta1 Ta 0.000 0.000 0.500
Ag1 Ag 0.500 0.500 0.500
```

No. 8
The following is a DFT calculation (PBE-GGA) of a relaxed ErTe3Au crystal.

Summary:
**Crystal system**: monoclinic
**Raw total energy**: -0.1515 Ha/atom

Structure (CIF):
```
data_ErTe3Au
_symmetry_space_group_name_H-M 'P 1 21/c 1'
_symmetry_Int_Tables_number 14
_cell_length_a 7.758
_cell_length_b 8.251
_cell_length_c 11.406
_cell_angle_alpha 90.00
_cell_angle_beta 125.20
_cell_angle_gamma 90.00
loop_
_symmetry_equiv_pos_as_xyz
'x,y,z'
'-x,-y,-z'
'-x,y+1/2,-z+1/2'
'x,-y+1/2,z+1/2'
loop_
_atom_site_label
_atom_site_type_symbol
_atom_site_fract_x
_atom_site_fract_y
_atom_site_fract_z
Er1 Er 0.200 0.164 0.228
Te1 Te 0.077 0.150 0.911
Te2 Te 0.214 0.611 0.938
Te3 Te 0.412 0.003 0.729
Au1 Au 0.493 0.185 0.024
```

> Among the records above, which one has the highest raw total energy?

Rb3ZnCd

> What is the formula in the second record?

Pr2Er3Al

> Among the records above, which one has the highest raw total energy?

Rb3ZnCd